No. 1
# Na2Zn2InAg5

Na2Zn2InAg5 after structural relaxation (GGA-PBE, Alexandria via LeMat-Bulk).

a = 10.908 Å, b = 10.908 Å, c = 3.444 Å
α = 90.00°, β = 90.00°, γ = 90.00°
Element x y z (fractional)
1 Na 0.174 0.326 0.000
2 Na 0.326 0.826 0.000
3 Na 0.674 0.174 0.000
4 Na 0.826 0.674 0.000
5 Zn 0.126 0.626 0.000
6 Zn 0.374 0.126 0.000
7 Zn 0.626 0.874 0.000
8 Zn 0.874 0.374 0.000
9 In 0.000 0.000 0.000
10 In 0.500 0.500 0.000
11 Ag 0.000 0.500 0.500
12 Ag 0.065 0.799 0.500
13 Ag 0.201 0.065 0.500
14 Ag 0.299 0.565 0.500
15 Ag 0.435 0.299 0.500
16 Ag 0.500 0.000 0.500
17 Ag 0.565 0.701 0.500
18 Ag 0.701 0.435 0.500
19 Ag 0.799 0.935 0.500
20 Ag 0.935 0.201 0.500

## Properties
- density (Mg/m³) = 6.74
- formation enthalpy at 0 K (eV per atom) = -0.0192
- magnetization (μB per cell) = 0.000



No. 2
# NaZnInAg2

NaZnInAg2 after structural relaxation (GGA-PBE, Alexandria via LeMat-Bulk).

a = 5.282 Å, b = 5.282 Å, c = 5.838 Å
α = 90.00°, β = 90.00°, γ = 90.00°
Element x y z (fractional)
1 Na 0.000 0.000 0.000
2 Zn 0.500 0.500 0.000
3 In 0.000 0.000 0.500
4 Ag 0.000 0.500 0.500
5 Ag 0.500 0.000 0.500

## Properties
- density (Mg/m³) = 4.27
- formation enthalpy at 0 K (eV per atom) = 0.5183
- magnetization (μB per cell) = 0.000



No. 3
# Na2ZnIn5Ag2

Na2ZnIn5Ag2 after structural relaxation (GGA-PBE, Alexandria via LeMat-Bulk).

a = 10.921 Å, b = 10.921 Å, c = 4.104 Å
α = 90.00°, β = 90.00°, γ = 90.00°
Element x y z (fractional)
1 Na 0.174 0.326 0.000
2 Na 0.326 0.826 0.000
3 Na 0.674 0.174 0.000
4 Na 0.826 0.674 0.000
5 Zn 0.000 0.000 0.000
6 Zn 0.500 0.500 0.000
7 In 0.000 0.500 0.500
8 In 0.063 0.809 0.500
9 In 0.191 0.063 0.500
10 In 0.309 0.563 0.500
11 In 0.437 0.309 0.500
12 In 0.500 0.000 0.500
13 In 0.563 0.691 0.500
14 In 0.691 0.437 0.500
15 In 0.809 0.937 0.500
16 In 0.937 0.191 0.500
17 Ag 0.130 0.630 0.000
18 Ag 0.370 0.130 0.000
19 Ag 0.630 0.870 0.000
20 Ag 0.870 0.370 0.000

## Properties
- density (Mg/m³) = 6.11
- formation enthalpy at 0 K (eV per atom) = -0.0419
- magnetization (μB per cell) = 0.000



No. 4
# Na2ZnInAg6

Na2ZnInAg6 after structural relaxation (GGA-PBE, Alexandria via LeMat-Bulk).

a = 7.242 Å, b = 7.242 Å, c = 7.242 Å
α = 60.00°, β = 60.00°, γ = 60.00°
Element x y z (fractional)
1 Na 0.250 0.250 0.250
2 Na 0.750 0.750 0.750
3 Zn 0.000 0.000 0.000
4 In 0.500 0.500 0.500
5 Ag 0.240 0.240 0.760
6 Ag 0.240 0.760 0.240
7 Ag 0.240 0.760 0.760
8 Ag 0.760 0.240 0.240
9 Ag 0.760 0.240 0.760
10 Ag 0.760 0.760 0.240

## Properties
- density (Mg/m³) = 5.40
- formation enthalpy at 0 K (eV per atom) = 0.2580
- magnetization (μB per cell) = 0.000



No. 5
# Nb2In2Ag

Nb2In2Ag after structural relaxation (GGA-PBE, Alexandria via LeMat-Bulk).

a = 8.416 Å, b = 8.416 Å, c = 3.034 Å
α = 90.00°, β = 90.00°, γ = 90.00°
Element x y z (fractional)
1 Nb 0.111 0.389 0.000
2 Nb 0.389 0.889 0.000
3 Nb 0.611 0.111 0.000
4 Nb 0.889 0.611 0.000
5 In 0.184 0.684 0.500
6 In 0.316 0.184 0.500
7 In 0.684 0.816 0.500
8 In 0.816 0.316 0.500
9 Ag 0.000 0.000 0.500
10 Ag 0.500 0.500 0.500

## Properties
- density (Mg/m³) = 8.09
- formation enthalpy at 0 K (eV per atom) = 0.2960
- energy above the most stable polymorph in this dataset (eV per formula unit) = 0.000
- magnetization (μB per cell) = 0.000



No. 6
# NbInAg2

NbInAg2 after structural relaxation (GGA-PBE, Alexandria via LeMat-Bulk).

a = 11.004 Å, b = 11.004 Å, c = 11.004 Å
α = 15.28°, β = 15.28°, γ = 15.28°
Element x y z (fractional)
1 Nb 0.000 0.000 0.000
2 In 0.500 0.500 0.500
3 Ag 0.086 0.086 0.086
4 Ag 0.914 0.914 0.914

## Properties
- density (Mg/m³) = 8.72
- formation enthalpy at 0 K (eV per atom) = 0.4189
- magnetization (μB per cell) = 0.000



No. 7
# Nb2In2Ag

Nb2In2Ag after structural relaxation (GGA-PBE, Alexandria via LeMat-Bulk).

a = 7.696 Å, b = 7.696 Å, c = 3.634 Å
α = 90.00°, β = 90.00°, γ = 90.00°
Element x y z (fractional)
1 Nb 0.114 0.386 0.000
2 Nb 0.386 0.886 0.000
3 Nb 0.614 0.114 0.000
4 Nb 0.886 0.614 0.000
5 In 0.186 0.686 0.500
6 In 0.314 0.186 0.500
7 In 0.686 0.814 0.500
8 In 0.814 0.314 0.500
9 Ag 0.000 0.000 0.000
10 Ag 0.500 0.500 0.000

## Properties
- density (Mg/m³) = 8.08
- formation enthalpy at 0 K (eV per atom) = 0.3325
- energy above the most stable polymorph in this dataset (eV per formula unit) = 0.183
- magnetization (μB per cell) = 0.000



No. 8
# NbInAg

NbInAg after structural relaxation (GGA-PBE, Alexandria via LeMat-Bulk).

a = 6.927 Å, b = 6.927 Å, c = 6.927 Å
α = 155.42°, β = 155.42°, γ = 35.04°
Element x y z (fractional)
1 Nb 0.000 0.000 0.000
2 In 0.668 0.668 0.000
3 Ag 0.338 0.338 0.000

## Properties
- density (Mg/m³) = 9.12
- formation enthalpy at 0 K (eV per atom) = 0.1112
- magnetization (μB per cell) = 0.000



No. 9
# NbInAg

NbInAg after structural relaxation (GGA-PBE, Alexandria via LeMat-Bulk).

a = 2.899 Å, b = 4.922 Å, c = 8.477 Å
α = 90.00°, β = 90.00°, γ = 90.00°
Element x y z (fractional)
1 Nb 0.250 0.250 0.054
2 Nb 0.750 0.750 0.946
3 In 0.250 0.750 0.260
4 In 0.750 0.250 0.740
5 Ag 0.250 0.250 0.429
6 Ag 0.750 0.750 0.571

## Properties
- density (Mg/m³) = 8.67
- formation enthalpy at 0 K (eV per atom) = 0.2355
- magnetization (μB per cell) = 0.000



No. 10
# Nb3InAg

Nb3InAg after structural relaxation (GGA-PBE, Alexandria via LeMat-Bulk).

a = 4.933 Å, b = 4.933 Å, c = 4.933 Å
α = 90.00°, β = 90.00°, γ = 90.00°
Element x y z (fractional)
1 Nb 0.000 0.000 0.500
2 Nb 0.000 0.500 0.000
3 Nb 0.500 0.000 0.000
4 In 0.500 0.500 0.500
5 Ag 0.000 0.000 0.000

## Properties
- density (Mg/m³) = 6.93
- formation enthalpy at 0 K (eV per atom) = 1.5311
- energy above the most stable polymorph in this dataset (eV per formula unit) = 0.000
- magnetization (μB per cell) = 0.000



No. 11
# NbInRe2Ag

NbInRe2Ag after structural relaxation (GGA-PBE, Alexandria via LeMat-Bulk).

a = 4.837 Å, b = 4.837 Å, c = 4.974 Å
α = 90.00°, β = 90.00°, γ = 90.00°
Element x y z (fractional)
1 Nb 0.000 0.000 0.000
2 In 0.000 0.000 0.500
3 Re 0.000 0.500 0.500
4 Re 0.500 0.000 0.500
5 Ag 0.500 0.500 0.000

## Properties
- density (Mg/m³) = 9.82
- formation enthalpy at 0 K (eV per atom) = 2.6229
- magnetization (μB per cell) = 0.002



No. 12
# NbIn2AgSn

NbIn2AgSn after structural relaxation (GGA-PBE, Alexandria via LeMat-Bulk).

a = 5.179 Å, b = 5.179 Å, c = 5.320 Å
α = 90.00°, β = 90.00°, γ = 90.00°
Element x y z (fractional)
1 Nb 0.000 0.000 0.000
2 In 0.000 0.500 0.500
3 In 0.500 0.000 0.500
4 Ag 0.500 0.500 0.500
5 Sn 0.500 0.500 0.000

## Properties
- density (Mg/m³) = 6.39
- formation enthalpy at 0 K (eV per atom) = 0.9840
- magnetization (μB per cell) = 3.216



No. 13
# NbInTcAg2

NbInTcAg2 after structural relaxation (GGA-PBE, Alexandria via LeMat-Bulk).

a = 4.889 Å, b = 4.889 Å, c = 5.175 Å
α = 90.00°, β = 90.00°, γ = 90.00°
Element x y z (fractional)
1 Nb 0.000 0.000 0.000
2 In 0.500 0.500 0.500
3 Tc 0.500 0.500 0.000
4 Ag 0.000 0.500 0.500
5 Ag 0.500 0.000 0.500

## Properties
- density (Mg/m³) = 7.00
- formation enthalpy at 0 K (eV per atom) = 1.6902
- magnetization (μB per cell) = 2.193



No. 14
# NbV2InAg

NbV2InAg after structural relaxation (GGA-PBE, Alexandria via LeMat-Bulk).

a = 4.831 Å, b = 4.831 Å, c = 4.998 Å
α = 90.00°, β = 90.00°, γ = 90.00°
Element x y z (fractional)
1 Nb 0.000 0.000 0.000
2 V 0.000 0.500 0.500
3 V 0.500 0.000 0.500
4 In 0.500 0.500 0.000
5 Ag 0.000 0.000 0.500

## Properties
- density (Mg/m³) = 5.94
- formation enthalpy at 0 K (eV per atom) = 1.4817
- magnetization (μB per cell) = 4.278



No. 15
# NbZnIn2Ag

NbZnIn2Ag after structural relaxation (GGA-PBE, Alexandria via LeMat-Bulk).

a = 5.162 Å, b = 5.162 Å, c = 4.744 Å
α = 90.00°, β = 90.00°, γ = 90.00°
Element x y z (fractional)
1 Nb 0.000 0.000 0.000
2 Zn 0.500 0.500 0.000
3 In 0.000 0.500 0.500
4 In 0.500 0.000 0.500
5 Ag 0.500 0.500 0.500

## Properties
- density (Mg/m³) = 6.51
- formation enthalpy at 0 K (eV per atom) = 0.9505
- magnetization (μB per cell) = 2.727



No. 16
# Nb2ZnInAg

Nb2ZnInAg after structural relaxation (GGA-PBE, Alexandria via LeMat-Bulk).

a = 5.025 Å, b = 5.025 Å, c = 4.633 Å
α = 90.00°, β = 90.00°, γ = 90.00°
Element x y z (fractional)
1 Nb 0.000 0.500 0.000
2 Nb 0.500 0.000 0.000
3 Zn 0.000 0.000 0.500
4 In 0.500 0.500 0.500
5 Ag 0.000 0.000 0.000

## Properties
- density (Mg/m³) = 6.73
- formation enthalpy at 0 K (eV per atom) = 1.2415
- magnetization (μB per cell) = 0.000



No. 17
# Nd2In3Ag

Nd2In3Ag after structural relaxation (GGA-PBE, Alexandria via LeMat-Bulk).

a = 9.881 Å, b = 9.351 Å, c = 6.199 Å
α = 75.90°, β = 66.62°, γ = 37.48°
Element x y z (fractional)
1 Nd 0.245 0.755 0.755
2 Nd 0.250 0.250 0.250
3 Nd 0.750 0.750 0.750
4 Nd 0.755 0.245 0.245
5 In 0.161 0.669 0.331
6 In 0.331 0.331 0.669
7 In 0.331 0.839 0.161
8 In 0.669 0.161 0.839
9 In 0.669 0.669 0.331
10 In 0.839 0.331 0.669
11 Ag 0.168 0.168 0.832
12 Ag 0.832 0.832 0.168

## Properties
- density (Mg/m³) = 7.75
- formation enthalpy at 0 K (eV per atom) = -0.4510
- energy above the most stable polymorph in this dataset (eV per formula unit) = 0.037
- magnetization (μB per cell) = 0.000



No. 18
# Nd7InAg4

Nd7InAg4 after structural relaxation (GGA-PBE, Alexandria via LeMat-Bulk).

a = 7.937 Å, b = 7.937 Å, c = 9.462 Å
α = 118.81°, β = 118.81°, γ = 43.29°
Element x y z (fractional)
1 Nd 0.000 0.000 0.000
2 Nd 0.225 0.225 0.689
3 Nd 0.315 0.315 0.112
4 Nd 0.426 0.426 0.595
5 Nd 0.574 0.574 0.405
6 Nd 0.685 0.685 0.888
7 Nd 0.775 0.775 0.311
8 In 0.500 0.500 0.000
9 Ag 0.023 0.023 0.684
10 Ag 0.189 0.189 0.342
11 Ag 0.811 0.811 0.658
12 Ag 0.977 0.977 0.316

## Properties
- density (Mg/m³) = 7.39
- formation enthalpy at 0 K (eV per atom) = -0.0848
- magnetization (μB per cell) = 0.000



No. 19
# Nd5InAg

Nd5InAg after structural relaxation (GGA-PBE, Alexandria via LeMat-Bulk).

a = 6.514 Å, b = 6.514 Å, c = 10.717 Å
α = 90.60°, β = 90.60°, γ = 92.13°
Element x y z (fractional)
1 Nd 0.047 0.610 0.338
2 Nd 0.138 0.862 0.750
3 Nd 0.233 0.428 0.000
4 Nd 0.390 0.953 0.162
5 Nd 0.428 0.233 0.500
6 Nd 0.572 0.767 0.500
7 Nd 0.610 0.047 0.838
8 Nd 0.767 0.572 0.000
9 Nd 0.862 0.138 0.250
10 Nd 0.953 0.390 0.662
11 In 0.485 0.515 0.750
12 In 0.515 0.485 0.250
13 Ag 0.000 0.000 0.000
14 Ag 0.000 0.000 0.500

## Properties
- density (Mg/m³) = 6.90
- formation enthalpy at 0 K (eV per atom) = -0.0664
- magnetization (μB per cell) = 0.001



No. 20
# Nd2In3Ag5

Nd2In3Ag5 after structural relaxation (GGA-PBE, Alexandria via LeMat-Bulk).

a = 9.299 Å, b = 9.299 Å, c = 9.299 Å
α = 98.52°, β = 94.27°, γ = 141.03°
Element x y z (fractional)
1 Nd 0.246 0.125 0.371
2 Nd 0.254 0.625 0.879
3 Nd 0.746 0.375 0.121
4 Nd 0.754 0.875 0.629
5 In 0.137 0.870 0.007
6 In 0.250 0.750 0.500
7 In 0.363 0.370 0.734
8 In 0.637 0.630 0.266
9 In 0.750 0.250 0.500
10 In 0.863 0.130 0.993
11 Ag 0.149 0.376 0.525
12 Ag 0.250 0.250 0.000
13 Ag 0.250 0.506 0.256
14 Ag 0.250 0.994 0.744
15 Ag 0.351 0.876 0.228
16 Ag 0.649 0.124 0.772
17 Ag 0.750 0.006 0.256
18 Ag 0.750 0.494 0.744
19 Ag 0.750 0.750 0.000
20 Ag 0.851 0.624 0.475

## Properties
- density (Mg/m³) = 8.17
- formation enthalpy at 0 K (eV per atom) = -0.2154
- magnetization (μB per cell) = 0.000



No. 21
# Nd12In5Ag2

Nd12In5Ag2 after structural relaxation (GGA-PBE, Alexandria via LeMat-Bulk).

a = 9.597 Å, b = 9.597 Å, c = 9.341 Å
α = 95.94°, β = 95.94°, γ = 44.89°
Element x y z (fractional)
1 Nd 0.001 0.001 0.193
2 Nd 0.093 0.582 0.567
3 Nd 0.098 0.597 0.989
4 Nd 0.403 0.902 0.011
5 Nd 0.418 0.907 0.433
6 Nd 0.461 0.461 0.310
7 Nd 0.539 0.539 0.690
8 Nd 0.582 0.093 0.567
9 Nd 0.597 0.098 0.989
10 Nd 0.902 0.403 0.011
11 Nd 0.907 0.418 0.433
12 Nd 0.999 0.999 0.807
13 In 0.203 0.203 0.742
14 In 0.273 0.273 0.252
15 In 0.500 0.500 0.000
16 In 0.727 0.727 0.748
17 In 0.797 0.797 0.258
18 Ag 0.180 0.820 0.500
19 Ag 0.820 0.180 0.500

## Properties
- density (Mg/m³) = 6.94
- formation enthalpy at 0 K (eV per atom) = -0.1813
- magnetization (μB per cell) = 0.000



No. 22
# Nd3In2Ag2

Nd3In2Ag2 after structural relaxation (GGA-PBE, Alexandria via LeMat-Bulk).

a = 11.482 Å, b = 11.482 Å, c = 3.578 Å
α = 90.00°, β = 90.00°, γ = 156.71°
Element x y z (fractional)
1 Nd 0.000 0.000 0.000
2 Nd 0.159 0.841 0.000
3 Nd 0.841 0.159 0.000
4 In 0.421 0.579 0.500
5 In 0.579 0.421 0.500
6 Ag 0.285 0.715 0.500
7 Ag 0.715 0.285 0.500

## Properties
- density (Mg/m³) = 7.82
- formation enthalpy at 0 K (eV per atom) = -0.3875
- magnetization (μB per cell) = 0.002



No. 23
# Nd4In2Ag

Nd4In2Ag after structural relaxation (GGA-PBE, Alexandria via LeMat-Bulk).

a = 7.317 Å, b = 6.707 Å, c = 9.256 Å
α = 90.00°, β = 108.73°, γ = 90.00°
Element x y z (fractional)
1 Nd 0.087 0.250 0.046
2 Nd 0.170 0.009 0.717
3 Nd 0.170 0.491 0.717
4 Nd 0.329 0.750 0.351
5 Nd 0.671 0.250 0.649
6 Nd 0.830 0.509 0.283
7 Nd 0.830 0.991 0.283
8 Nd 0.913 0.750 0.954
9 In 0.224 0.250 0.427
10 In 0.437 0.750 0.030
11 In 0.563 0.250 0.970
12 In 0.776 0.750 0.573
13 Ag 0.490 0.250 0.271
14 Ag 0.510 0.750 0.729

## Properties
- density (Mg/m³) = 7.06
- formation enthalpy at 0 K (eV per atom) = -0.2120
- energy above the most stable polymorph in this dataset (eV per formula unit) = 0.305
- magnetization (μB per cell) = 0.000